Material: CrMo3As
Method: DFT, PBEsol
State: optimized geometry

Cell and atoms, written as CIF:
```
data_CrMo3As
_chemical_formula_sum 'Cr1 Mo3 As1'
_symmetry_space_group_name_H-M 'P m -3 m'
_symmetry_Int_Tables_number 221
_symmetry_space_group_name_Hall '-P 4 2 3'
_cell_length_a 4.425
_cell_length_b 4.425
_cell_length_c 4.425
_cell_angle_alpha 90.00
_cell_angle_beta 90.00
_cell_angle_gamma 90.00
loop_
_atom_site_label
_atom_site_fract_x
_atom_site_fract_y
_atom_site_fract_z
_atom_site_occupancy
Cr1 0.000 0.000 0.000 1
Mo1 0.000 0.000 0.500 1
As1 0.500 0.500 0.500 1
```

Computed properties:
Spin magnetization = 0.00 μB/atom
Energy = -8.8353 eV per atom